## Zn3W (GGA-PBE)

Data for an optimized crystal structure of Zn3W.

Output
ρ in Mg/m³: 10.76
Total magnetic moment in μB per cell: 0.00
Total energy in eV per cell: -63.25
E_form in eV/atom: 0.241

CIF file:
```
data_Zn3W
_symmetry_space_group_name_H-M 'I 4/m m m'
_symmetry_Int_Tables_number 139
_symmetry_space_group_name_Hall '-I 4 2'
_cell_length_a 3.7988
_cell_length_b 3.7988
_cell_length_c 16.2571
_cell_angle_alpha 90.00
_cell_angle_beta 90.00
_cell_angle_gamma 90.00
loop_
_atom_site_label
_atom_site_fract_x
_atom_site_fract_y
_atom_site_fract_z
Zn1 0.0000 0.0000 0.1303
Zn2 0.0000 0.5000 0.0000
Zn3 0.0000 0.5000 0.2500
W1 0.0000 0.0000 0.3842
```

***

## Zn5W (GGA-PBE)

Data for an optimized crystal structure of Zn5W.

Output
ρ in Mg/m³: 9.59
E above lowest polymorph in eV/f.u.: 1.63
Total magnetic moment in μB per cell: 3.24
Total energy in eV per cell: -67.50
E_form in eV/atom: 0.408

CIF file:
```
data_Zn5W
_symmetry_space_group_name_H-M 'F -4 3 m'
_symmetry_Int_Tables_number 216
_symmetry_space_group_name_Hall 'F -4 2 3'
_cell_length_a 7.0740
_cell_length_b 7.0740
_cell_length_c 7.0740
_cell_angle_alpha 90.00
_cell_angle_beta 90.00
_cell_angle_gamma 90.00
loop_
_atom_site_label
_atom_site_fract_x
_atom_site_fract_y
_atom_site_fract_z
Zn1 0.0000 0.0000 0.0000
Zn2 0.1241 0.1241 0.6241
W1 0.2500 0.2500 0.2500
```

***

## Zn3W (GGA-PBE)

Data for an optimized crystal structure of Zn3W.

Output
ρ in Mg/m³: 10.54
Total magnetic moment in μB per cell: 0.00
Total energy in eV per cell: -16.07
E_form in eV/atom: 0.176

CIF file:
```
data_Zn3W
_symmetry_space_group_name_H-M 'P 4/m m m'
_symmetry_Int_Tables_number 123
_symmetry_space_group_name_Hall '-P 4 2'
_cell_length_a 2.7009
_cell_length_b 2.7009
_cell_length_c 8.2058
_cell_angle_alpha 90.00
_cell_angle_beta 90.00
_cell_angle_gamma 90.00
loop_
_atom_site_label
_atom_site_fract_x
_atom_site_fract_y
_atom_site_fract_z
Zn1 0.0000 0.0000 0.0000
Zn2 0.5000 0.5000 0.2470
W1 0.0000 0.0000 0.5000
```

***

## Zn5W (GGA-PBE)

Data for an optimized crystal structure of Zn5W.

Output
ρ in Mg/m³: 9.44
E above lowest polymorph in eV/f.u.: 0.00
Total magnetic moment in μB per cell: 0.00
Total energy in eV per cell: -18.51
E_form in eV/atom: 0.135

CIF file:
```
data_Zn5W
_symmetry_space_group_name_H-M 'P 4/m m m'
_symmetry_Int_Tables_number 123
_symmetry_space_group_name_Hall '-P 4 2'
_cell_length_a 2.7054
_cell_length_b 2.7054
_cell_length_c 12.2814
_cell_angle_alpha 90.00
_cell_angle_beta 90.00
_cell_angle_gamma 90.00
loop_
_atom_site_label
_atom_site_fract_x
_atom_site_fract_y
_atom_site_fract_z
Zn1 0.0000 0.0000 0.0000
Zn2 0.0000 0.0000 0.3314
Zn3 0.5000 0.5000 0.1658
W1 0.5000 0.5000 0.5000
```

***

## Zn3W (GGA-PBE)

Data for an optimized crystal structure of Zn3W.

Output
ρ in Mg/m³: 10.48
Total magnetic moment in μB per cell: 0.00
Total energy in eV per cell: -64.81
E_form in eV/atom: 0.143

CIF file:
```
data_Zn3W
_symmetry_space_group_name_H-M 'P n m a'
_symmetry_Int_Tables_number 62
_cell_length_a 4.4151
_cell_length_b 9.1013
_cell_length_c 5.9920
_cell_angle_alpha 90.00
_cell_angle_beta 90.00
_cell_angle_gamma 90.00
loop_
_symmetry_equiv_pos_as_xyz
'x,y,z'
'-x,-y,-z'
'-x+1/2,-y,z+1/2'
'x+1/2,y,-z+1/2'
'x+1/2,-y+1/2,-z+1/2'
'-x+1/2,y+1/2,z+1/2'
'-x,y+1/2,-z'
'x,-y+1/2,z'
loop_
_atom_site_label
_atom_site_fract_x
_atom_site_fract_y
_atom_site_fract_z
Zn1 0.2487 0.2500 0.1492
Zn2 0.2497 0.0093 0.8876
W1 0.2490 0.2500 0.6326
```

***

## Zn3W (GGA-PBE)

Data for an optimized crystal structure of Zn3W.

Output
ρ in Mg/m³: 10.59
Total magnetic moment in μB per cell: 0.00
Total energy in eV per cell: -32.31
E_form in eV/atom: 0.155

CIF file:
```
data_Zn3W
_symmetry_space_group_name_H-M 'I m m 2'
_symmetry_Int_Tables_number 44
_cell_length_a 2.6796
_cell_length_b 8.9839
_cell_length_c 4.9515
_cell_angle_alpha 90.00
_cell_angle_beta 90.00
_cell_angle_gamma 90.00
loop_
_symmetry_equiv_pos_as_xyz
'x,y,z'
'-x,-y,z'
'-x,y,z'
'x,-y,z'
'x+1/2,y+1/2,z+1/2'
'-x+1/2,-y+1/2,z+1/2'
'-x+1/2,y+1/2,z+1/2'
'x+1/2,-y+1/2,z+1/2'
loop_
_atom_site_label
_atom_site_fract_x
_atom_site_fract_y
_atom_site_fract_z
Zn1 0.0000 0.0000 0.0000
Zn2 0.0000 0.2501 0.3132
W1 0.0000 0.5000 0.0043
```